Computed, not measured: a relaxed TmZrCoTc crystal at the PBE-GGA level of DFT.

Lattice parameters (Å, degrees): 4.6440 4.6440 4.6440 60.00 60.00 60.00
Element x y z (fractional)
Co1 0.5000 0.5000 0.5000
Tc1 0.0000 0.0000 0.0000
Zr1 0.7500 0.7500 0.7500
Tm1 0.2500 0.2500 0.2500

Computed properties:
As for the space group: F-43m (216). The total energy is -7.84 eV per atom. As for the calculated volume: 70.8 Å³ per cell. As for the density of states at the Fermi level: 4.80 states/eV/cell. Its crystal system is cubic.